1.
10
Lattice="-4.485 -1.122 -1.068 2.289 -3.914 -5.498 0.419 -5.712 4.241" Properties=species:S:1:pos:R:3 comment="Y2ZnIn2 | Alexandria via LeMat-Bulk | GGA-PBEsol | optimized geometry" space_group="P4/mbm (127)" formation_enthalpy_0k_ev_per_atom=-0.430 pbc="T T T"
In 1.181 -6.308 1.670
In 2.234 -7.024 -2.001
In 1.527 -3.318 -2.927
In 0.474 -2.602 0.744
Zn 0.000 0.000 0.000
Zn 1.354 -4.813 -0.629
Y -0.365 -7.928 -0.679
Y -1.578 -5.035 1.375
Y -0.200 -5.713 -3.700
Y -1.413 -2.820 -1.646

2.
4
Lattice="3.581 0.000 0.000 0.000 3.581 0.000 0.000 0.000 7.340" Properties=species:S:1:pos:R:3 comment="Y2ZnIn | Alexandria via LeMat-Bulk | GGA-PBEsol | optimized geometry" space_group="P4/mmm (123)" formation_enthalpy_0k_ev_per_atom=-0.477 pbc="T T T"
In 1.790 1.790 3.670
Zn 1.790 1.790 0.000
Y 0.000 0.000 5.640
Y 0.000 0.000 1.700

3.
3
Lattice="-3.075 0.896 -3.308 -4.206 -1.863 0.200 -3.652 2.652 0.908" Properties=species:S:1:pos:R:3 comment="YZnIn | Alexandria via LeMat-Bulk | GGA-PBEsol | optimized geometry" space_group="F-43m (216)" formation_enthalpy_0k_ev_per_atom=-0.448 pbc="T T T"
Zn -2.733 0.421 -0.550
In 0.000 0.000 0.000
Y -5.466 0.842 -1.100

4.
4
Lattice="-3.494 -2.672 -0.216 2.682 -3.471 -0.442 0.508 2.570 4.889" Properties=species:S:1:pos:R:3 comment="YZnIn2 | Alexandria via LeMat-Bulk | GGA-PBEsol | optimized geometry" space_group="Imm2 (44)" formation_enthalpy_0k_ev_per_atom=-0.294 pbc="T T T"
In -1.696 -1.587 2.172
In -0.304 -3.573 4.224
Zn 1.392 -1.987 2.064
Y -0.406 -3.072 -0.325

5.
6
Lattice="5.832 0.000 0.000 2.916 5.051 0.000 2.916 1.684 4.762" Properties=species:S:1:pos:R:3 comment="YZr4In | Alexandria via LeMat-Bulk | GGA-PBEsol | optimized geometry" space_group="F-43m (216)" formation_enthalpy_0k_ev_per_atom=0.099 pbc="T T T"
Zr 7.322 2.507 1.773
Zr 5.832 3.367 4.206
Zr 5.832 5.087 1.773
Zr 4.343 2.507 1.773
In 8.748 5.051 3.571
Y 0.000 0.000 0.000

6.
4
Lattice="4.442 0.000 0.000 0.000 4.442 0.000 -2.221 -2.221 4.659" Properties=species:S:1:pos:R:3 comment="YZr2In | Alexandria via LeMat-Bulk | GGA-PBEsol | optimized geometry" polymorph_energy_mev_per_atom=14 space_group="I4/mmm (139)" formation_enthalpy_0k_ev_per_atom=-0.209 pbc="T T T"
Zr 2.221 0.000 2.329
Zr 0.000 2.221 2.329
In 2.221 2.221 0.000
Y 0.000 0.000 0.000

7.
4
Lattice="-3.820 0.654 -2.193 -2.063 -2.832 2.749 1.910 4.605 2.569" Properties=species:S:1:pos:R:3 comment="YZr2In | Alexandria via LeMat-Bulk | GGA-PBEsol | optimized geometry" polymorph_energy_mev_per_atom=19 space_group="I-4m2 (119)" formation_enthalpy_0k_ev_per_atom=-0.204 pbc="T T T"
Y -1.548 0.342 2.798
Zr -2.426 2.085 0.327
Zr 0.000 0.000 0.000
In -2.942 -1.089 0.278

8.
4
Lattice="3.211 0.000 0.000 0.000 3.211 0.000 0.000 0.000 9.172" Properties=species:S:1:pos:R:3 comment="YZr2In | Alexandria via LeMat-Bulk | GGA-PBEsol | optimized geometry" polymorph_energy_mev_per_atom=40 space_group="P4mm (99)" formation_enthalpy_0k_ev_per_atom=-0.183 pbc="T T T"
Zr 0.000 0.000 0.141
Zr 1.606 1.606 2.321
Y 1.606 1.606 6.813
In 0.000 0.000 4.484

9.
4
Lattice="4.499 0.000 0.000 0.000 4.499 0.000 0.000 0.000 4.525" Properties=species:S:1:pos:R:3 comment="YZr2In | Alexandria via LeMat-Bulk | GGA-PBEsol | optimized geometry" polymorph_energy_mev_per_atom=0 space_group="P4/mmm (123)" formation_enthalpy_0k_ev_per_atom=-0.223 pbc="T T T"
In 2.250 2.250 2.263
Zr 0.000 2.250 0.000
Zr 2.250 0.000 0.000
Y 0.000 0.000 2.263

10.
3
Lattice="-1.405 -0.709 -2.737 0.009 -3.894 1.004 -3.903 2.863 3.082" Properties=species:S:1:pos:R:3 comment="ZnIn2 | Alexandria via LeMat-Bulk | GGA-PBEsol | optimized geometry" space_group="Immm (71)" formation_enthalpy_0k_ev_per_atom=0.101 pbc="T T T"
Zn 0.000 0.000 0.000
In -3.186 0.388 1.534
In -2.113 -2.129 -0.185

11.
3
Lattice="3.242 0.000 0.000 0.000 3.242 0.000 -1.621 -1.621 6.155" Properties=species:S:1:pos:R:3 comment="ZnIn2 | Alexandria via LeMat-Bulk | GGA-PBEsol | optimized geometry" space_group="I4/mmm (139)" formation_enthalpy_0k_ev_per_atom=0.082 pbc="T T T"
Zn 0.000 0.000 0.000
In 1.621 1.621 1.879
In 0.000 0.000 4.275

12.
6
Lattice="3.221 0.000 0.000 0.000 3.221 -0.012 -1.611 -1.659 12.628" Properties=species:S:1:pos:R:3 comment="ZnIn2 | Alexandria via LeMat-Bulk | GGA-PBEsol | optimized geometry" space_group="C2/m (12)" formation_enthalpy_0k_ev_per_atom=0.081 pbc="T T T"
In 1.611 0.761 11.298
In 1.611 0.777 7.628
In 0.000 0.801 1.318
In 0.000 0.785 4.987
Zn 1.611 2.403 3.146
Zn 0.000 -0.841 9.470

13.
8
Lattice="-3.456 2.342 0.026 -3.091 -4.564 0.312 0.256 0.301 6.934" Properties=species:S:1:pos:R:3 comment="ZnIn | Alexandria via LeMat-Bulk | GGA-PBEsol | optimized geometry" space_group="Pnma (62)" formation_enthalpy_0k_ev_per_atom=0.069 pbc="T T T"
Zn -2.556 -1.988 6.858
Zn -3.734 0.067 0.415
Zn -2.847 1.339 3.805
Zn -3.444 -3.260 3.467
In -1.979 -1.087 2.457
In -0.994 0.328 5.838
In -4.312 -0.835 4.816
In -5.296 -2.249 1.435

14.
6
Lattice="-1.502 1.422 -2.405 1.564 -2.690 -4.660 -5.746 -5.290 -1.631" Properties=species:S:1:pos:R:3 comment="ZnIn2 | Alexandria via LeMat-Bulk | GGA-PBEsol | optimized geometry" space_group="C2/m (12)" formation_enthalpy_0k_ev_per_atom=0.067 pbc="T T T"
In -0.605 -2.566 -5.324
In -2.195 -2.691 -2.312
In -5.078 -3.992 -3.373
In -3.488 -3.866 -6.384
Zn -4.460 -6.348 -5.153
Zn -1.224 -0.209 -3.544